DFT (GGA-PBEsol) results for a relaxed structure of RbHf2FeMo.

Computed properties:
density of states at the Fermi level = 8.19 states/eV/cell
total energy = -5.726 eV per atom
crystal system = tetragonal
magnetic moment = 3.06 μB/f.u.

abc: 4.869 4.869 4.552
angles: 90.00 90.00 90.00
Space group P4/mmm (No. 123)
Unique sites:
Rb  0.000  0.000  0.000
Hf  0.000  0.500  0.000
Fe  0.500  0.500  0.500
Mo  0.000  0.000  0.500

***

DFT (GGA-PBEsol) results for a relaxed structure of TlCd3.

Computed properties:
density of states at the Fermi level = 1.44 states/eV/cell
total energy = -1.482 eV per atom
crystal system = orthorhombic
magnetic moment = 0.00 μB/f.u.

abc: 3.156 5.007 5.831
angles: 90.00 90.00 90.00
Space group Pmm2 (No. 25)
Unique sites:
Tl  0.000  0.000  0.000
Cd  0.000  0.500  0.652
Cd  0.500  0.000  0.506
Cd  0.500  0.500  0.186

***

DFT (GGA-PBEsol) results for a relaxed structure of BaSc2P.

Computed properties:
density of states at the Fermi level = 8.76 states/eV/cell
total energy = -5.699 eV per atom
crystal system = orthorhombic
magnetic moment = 0.00 μB/f.u.

abc: 4.483 5.104 8.922
angles: 90.00 90.00 90.00
Space group Cmmm (No. 65)
Unique sites:
Ba  0.000  0.000  0.000
Sc  0.000  0.500  0.340
P  0.000  0.000  0.500

***

DFT (GGA-PBEsol) results for a relaxed structure of Cd2AgRh.

Computed properties:
density of states at the Fermi level = 2.33 states/eV/cell
total energy = -3.546 eV per atom
energy above the most stable polymorph in this dataset = 0.028 eV per atom
crystal system = tetragonal
magnetic moment = 0.00 μB/f.u.

abc: 4.256 4.256 7.402
angles: 90.00 90.00 90.00
Space group I4/mmm (No. 139)
Unique sites:
Cd  0.000  0.500  0.250
Ag  0.000  0.000  0.000
Rh  0.000  0.000  0.500

***

Please write out number 2 again, unchanged.
DFT (GGA-PBEsol) results for a relaxed structure of TlCd3.

Computed properties:
density of states at the Fermi level = 1.44 states/eV/cell
total energy = -1.482 eV per atom
crystal system = orthorhombic
magnetic moment = 0.00 μB/f.u.

abc: 3.156 5.007 5.831
angles: 90.00 90.00 90.00
Space group Pmm2 (No. 25)
Unique sites:
Tl  0.000  0.000  0.000
Cd  0.000  0.500  0.652
Cd  0.500  0.000  0.506
Cd  0.500  0.500  0.186

***

Question: Which formula does entry 2 have?
Answer: TlCd3

***

Question: What is the formula in the fourth record?
Answer: Cd2AgRh